<w>
The following is a DFT calculation (PBE) of a geometry-optimized Dy2Ho5Tm structure.

a = 5.7417 Å, b = 10.8652 Å, c = 8.4569 Å
α = 90.00°, β = 106.49°, γ = 90.00°
Space group P2_1/m (No. 11)
One atom of each set of equivalent atoms:
1 Dy 0.1410 0.1119 0.0421
2 Ho 0.2006 0.5836 0.3753
3 Ho 0.2461 0.2500 0.4322
4 Ho 0.3082 0.5825 0.7764
5 Tm 0.4672 0.7500 0.1372

N(E_F) in states/eV per cell: 24.83



<x>
The following is a DFT calculation (PBE) of a geometry-optimized Dy2Ho5Tm structure.

a = 7.0317 Å, b = 14.0647 Å, c = 4.9671 Å
α = 90.00°, β = 90.00°, γ = 90.00°
Space group Pbam (No. 55)
One atom of each set of equivalent atoms:
1 Dy 0.2504 0.1248 0.0000
2 Ho 0.0000 0.0000 0.5000
3 Ho 0.0005 0.2502 0.5000
4 Ho 0.2503 0.3751 0.0000
5 Tm 0.0000 0.5000 0.5000

N(E_F) in states/eV per cell: 18.24



Computed energies relative to the best structure, in kJ/mol of atoms: <w> 16.5; <x> 0.0



<w>
The following is a DFT calculation (PBE) of a geometry-optimized Dy12Ho5Tm2 structure.

a = 6.4393 Å, b = 8.7959 Å, c = 11.3403 Å
α = 109.61°, β = 92.79°, γ = 98.02°
Space group P-1 (No. 2)
One atom of each set of equivalent atoms:
1 Dy 0.0120 0.3905 0.2180
2 Dy 0.0267 0.1998 0.6373
3 Dy 0.2044 0.1707 0.3591
4 Dy 0.3064 0.0117 0.8020
5 Dy 0.4444 0.6566 0.2678
6 Dy 0.4685 0.2603 0.1301
7 Ho 0.1639 0.8717 0.0760
8 Ho 0.2765 0.5979 0.5402
9 Ho 0.5000 0.0000 0.5000
10 Tm 0.2360 0.4451 0.9608

N(E_F) in states/eV per cell: 26.53



<x>
The following is a DFT calculation (PBE) of a geometry-optimized Dy12Ho5Tm2 structure.

a = 15.5892 Å, b = 9.1254 Å, c = 8.4771 Å
α = 90.00°, β = 91.32°, γ = 90.00°
Space group C2/m (No. 12)
One atom of each set of equivalent atoms:
1 Dy 0.0583 0.0000 0.3365
2 Dy 0.0878 0.5000 0.8834
3 Dy 0.1270 0.1935 0.6665
4 Dy 0.1531 0.3183 0.2411
5 Ho 0.0000 0.5000 0.5000
6 Ho 0.1997 0.0000 0.0143
7 Ho 0.2317 0.5000 0.5720
8 Tm 0.0000 0.1756 0.0000

N(E_F) in states/eV per cell: 57.34



Computed energies relative to the best structure, in kJ/mol of atoms: <w> 0.0; <x> 3.6



<w>
The following is a DFT calculation (PBE) of a geometry-optimized Dy7Ho3Tm structure.

a = 12.4935 Å, b = 11.0814 Å, c = 5.7530 Å
α = 90.00°, β = 117.36°, γ = 90.00°
Space group C2/m (No. 12)
One atom of each set of equivalent atoms:
1 Dy 0.0000 0.0000 0.0000
2 Dy 0.1964 0.2954 0.6961
3 Dy 0.2085 0.5000 0.2072
4 Ho 0.0000 0.2931 0.0000
5 Ho 0.0000 0.5000 0.5000
6 Tm 0.0000 0.0000 0.5000

N(E_F) in states/eV per cell: 31.85



<x>
The following is a DFT calculation (PBE) of a geometry-optimized Dy7Ho3Tm structure.

a = 6.9233 Å, b = 5.4841 Å, c = 9.8280 Å
α = 90.00°, β = 110.43°, γ = 90.00°
Space group P2/m (No. 10)
One atom of each set of equivalent atoms:
1 Dy 0.0000 0.0000 0.0000
2 Dy 0.1459 0.5000 0.2912
3 Dy 0.3211 0.5000 0.6402
4 Dy 0.4162 0.0000 0.8299
5 Ho 0.0000 0.0000 0.5000
6 Ho 0.2796 0.5000 0.9993
7 Tm 0.5000 0.0000 0.5000

N(E_F) in states/eV per cell: 17.22



Computed energies relative to the best structure, in kJ/mol of atoms: <w> 12.5; <x> 0.0